# 1
# Th2MnCo3P4, relaxed, DFT PBE-GGA
# formation enthalpy at 0 K = -1.019 eV/atom
# D(E_F) = 0.7226 states/eV per atom
# VASP energy = -77.16 eV per formula unit
# density = 9.189 g/cm³
data_Th2MnCo3P4
_chemical_formula_sum 'Th2 Mn1 Co3 P4'
_cell_length_a 4.022
_cell_length_b 4.022
_cell_length_c 9.156
_cell_angle_alpha 90.00
_cell_angle_beta 90.00
_cell_angle_gamma 90.00
_symmetry_space_group_name_H-M 'P -4 m 2'
_symmetry_Int_Tables_number 115
loop_
_symmetry_equiv_pos_as_xyz
'x,y,z'
'y,-x,-z'
'-x,-y,z'
'-y,x,-z'
'-x,y,z'
'-y,-x,-z'
'x,-y,z'
'y,x,-z'
loop_
_atom_site_label
_atom_site_type_symbol
_atom_site_fract_x
_atom_site_fract_y
_atom_site_fract_z
Th1 Th 0.000 0.500 0.247
Mn1 Mn 0.000 0.000 0.500
Co1 Co 0.000 0.500 0.890
Co2 Co 0.500 0.500 0.500
P1 P 0.000 0.000 0.000
P2 P 0.000 0.500 0.629
P3 P 0.500 0.500 0.000



# 2
# Sc2AgCl, relaxed, DFT PBE-GGA
# distance to the lowest polymorph of the same formula = 0.0729 eV per atom
# ΔE_f (raw) = -593 meV/atom
# D(E_F) = 0.2756 states/eV per atom
# VASP energy = -19.73 eV per formula unit
# density = 4.004 g/cm³
data_Sc2AgCl
_chemical_formula_sum 'Sc2 Ag1 Cl1'
_cell_length_a 3.357
_cell_length_b 3.357
_cell_length_c 8.582
_cell_angle_alpha 90.00
_cell_angle_beta 90.00
_cell_angle_gamma 90.00
_symmetry_space_group_name_H-M 'P 4 m m'
_symmetry_Int_Tables_number 99
loop_
_symmetry_equiv_pos_as_xyz
'x,y,z'
'-y,x,z'
'-x,-y,z'
'y,-x,z'
'-x,y,z'
'y,x,z'
'x,-y,z'
'-y,-x,z'
loop_
_atom_site_label
_atom_site_type_symbol
_atom_site_fract_x
_atom_site_fract_y
_atom_site_fract_z
Sc1 Sc 0.000 0.000 0.000
Sc2 Sc 0.500 0.500 0.249
Ag1 Ag 0.000 0.000 0.460
Cl1 Cl 0.500 0.500 0.860



# 3
# Pr4SmAl, relaxed, DFT PBE-GGA
# formation enthalpy at 0 K = -0.090 eV/atom
# distance to the lowest polymorph of the same formula = 0.0000 eV per atom
# D(E_F) = 1.3541 states/eV per atom
# VASP energy = -28.12 eV per formula unit
# density = 6.271 g/cm³
data_Pr4SmAl
_chemical_formula_sum 'Pr4 Sm1 Al1'
_cell_length_a 3.662
_cell_length_b 3.662
_cell_length_c 14.635
_cell_angle_alpha 90.00
_cell_angle_beta 90.00
_cell_angle_gamma 90.00
_symmetry_space_group_name_H-M 'P 4/m m m'
_symmetry_Int_Tables_number 123
_symmetry_space_group_name_Hall '-P 4 2'
loop_
_atom_site_label
_atom_site_type_symbol
_atom_site_fract_x
_atom_site_fract_y
_atom_site_fract_z
Pr1 Pr 0.000 0.000 0.135
Pr2 Pr 0.500 0.500 0.321
Sm1 Sm 0.000 0.000 0.500
Al1 Al 0.500 0.500 0.000